A plane-wave DFT calculation with PBE with a Hubbard U was carried out for a geometry-optimized LiFeF4 structure.

Unit cell a=5.524 b=5.619 c=5.465 alpha=90.00 beta=118.28 gamma=90.00
Positions (direct):
Li  0.000  0.096  0.250
Li  0.000  0.904  0.750
Fe  0.500  0.356  0.250
Fe  0.500  0.644  0.750
F  0.223  0.132  0.044
F  0.223  0.868  0.544
F  0.298  0.384  0.474
F  0.298  0.616  0.974
F  0.702  0.384  0.026
F  0.702  0.616  0.526
F  0.777  0.132  0.456
F  0.777  0.868  0.956

Computed properties:
Spin magnetization = 4.98 μB/f.u.
E = -5.131 eV per atom
Volume = 149.39 Å³/cell
DOS(E_F) = 0.00 states/eV/cell
Density = 3.09 Mg/m³